A plane-wave DFT calculation with PBEsol was carried out for BiPtCl2 after structural relaxation.

Summary:
- E: -3.5739 eV per atom
- E above lowest polymorph: 90.6 meV/atom
- Total moment: 0.0 μB/cell
- Energy relative to the elements, uncorrected: 5.59 kcal/mol of atoms

The structure in POSCAR format:
```
BiPtCl2
1.0
6.811 0.000 0.000
0.000 6.811 0.000
0.000 0.000 6.811
Bi Pt Cl
4 4 8
direct
0.000 0.000 0.000
0.000 0.500 0.500
0.500 0.000 0.500
0.500 0.500 0.000
0.000 0.000 0.500
0.000 0.500 0.000
0.500 0.000 0.000
0.500 0.500 0.500
0.250 0.250 0.250
0.250 0.250 0.750
0.250 0.750 0.250
0.250 0.750 0.750
0.750 0.250 0.250
0.750 0.250 0.750
0.750 0.750 0.250
0.750 0.750 0.750
```

***

A plane-wave DFT calculation with PBEsol was carried out for Tc2BiPtCl after structural relaxation.

Summary:
- E: -5.7168 eV per atom
- Total moment: 5.1 μB/cell
- Energy relative to the elements, uncorrected: 33.23 kcal/mol of atoms

The structure in POSCAR format:
```
Tc2BiPtCl
1.0
4.956 0.000 0.000
0.000 4.956 0.000
0.000 0.000 4.580
Tc Bi Pt Cl
2 1 1 1
direct
0.000 0.500 0.000
0.500 0.000 0.000
0.000 0.000 0.500
0.500 0.500 0.000
0.500 0.500 0.500
```